[1]
The following is a PBE-GGA calculation of crystalline K2ZnIn at its relaxed geometry, from the Alexandria database.

Calculated values
DFT formation energy (eV per atom): 0.15

abc: 4.7144 4.2798 8.4641
angles: 59.55 90.00 90.00
With the nearest neighbours (Å) after each atom.
Element x y z (fractional)
K: 0.0000 0.5024 0.4962  2 K 3.59-3.70, 4 Zn 3.65-3.66, 4 In 3.68-3.69
K: 0.0000 0.9976 0.0038  2 K 3.59-3.70, 4 Zn 3.65-3.66, 4 In 3.68-3.69
Zn: 0.5000 0.2500 0.2500  2 In 3.65, 8 K 3.65-3.66
In: 0.5000 0.7500 0.7500  2 Zn 3.65, 8 K 3.68-3.69

***

[2]
The following is a PBE-GGA calculation of crystalline K2ZnIn at its relaxed geometry, from the Alexandria database.

Calculated values
DFT formation energy (eV per atom): 0.22

abc: 11.6747 11.6747 11.6747
angles: 19.27 19.27 19.27
With the nearest neighbours (Å) after each atom.
Element x y z (fractional)
K: 0.9969 0.9969 0.9969  3 Zn 3.56, 3 In 3.73, 6 K 3.91
In: 0.7500 0.7500 0.7500  6 K 3.73, 6 In 3.91
Zn: 0.2500 0.2500 0.2500  6 K 3.56, 6 Zn 3.91
K: 0.5031 0.5031 0.5031  3 Zn 3.56, 3 In 3.73, 6 K 3.91

***

[3]
The following is a PBE-GGA calculation of crystalline K2ZnIn at its relaxed geometry, from the Alexandria database.

Calculated values
DFT formation energy (eV per atom): 0.00

abc: 4.8305 5.4401 6.7641
angles: 66.27 90.00 90.00
With the nearest neighbours (Å) after each atom.
Element x y z (fractional)
K: 0.0000 0.9744 0.9263  3 Zn 3.65-3.76, 4 In 3.86
K: 0.5000 0.2764 0.3227  3 In 3.66-3.74, 4 Zn 3.86-3.87
Zn: 0.0000 0.6700 0.5329  2 In 2.67
In: 0.5000 0.5792 0.7181  2 Zn 2.67

***

[4]
The following is a PBE-GGA calculation of crystalline KZnIn2 at its relaxed geometry, from the Alexandria database.

Calculated values
DFT formation energy (eV per atom): 0.13

abc: 4.7352 4.7352 5.0492
angles: 90.00 90.00 90.00
With the nearest neighbours (Å) after each atom.
Element x y z (fractional)
K: 0.5000 0.0000 0.5000  4 Zn 3.35, 8 In 3.46
In: 0.0000 0.0000 0.0000  4 In 3.35, 4 K 3.46, 4 Zn 3.46
Zn: 0.0000 0.5000 0.5000  4 K 3.35, 8 In 3.46
In: 0.5000 0.5000 0.0000  4 In 3.35, 4 Zn 3.46, 4 K 3.46

***

[5]
The following is a PBE-GGA calculation of crystalline KZn2In at its relaxed geometry, from the Alexandria database.

Calculated values
DFT formation energy (eV per atom): 0.23

abc: 5.2217 5.2217 5.2217
angles: 60.00 60.00 60.00
With the nearest neighbours (Å) after each atom.
Element x y z (fractional)
K: 0.7500 0.7500 0.7500  4 In 3.20, 4 Zn 3.20
In: 0.5000 0.5000 0.5000  4 K 3.20, 4 Zn 3.20
Zn: 0.0000 0.0000 0.0000  4 K 3.20, 4 Zn 3.20
Zn: 0.2500 0.2500 0.2500  4 In 3.20, 4 Zn 3.20

***

[6]
The following is a PBE-GGA calculation of crystalline KZnIn2 at its relaxed geometry, from the Alexandria database.

Calculated values
DFT formation energy (eV per atom): 0.17

abc: 6.4300 6.4300 3.1350
angles: 90.00 90.00 119.38
With the nearest neighbours (Å) after each atom.
Element x y z (fractional)
K: 0.5000 0.0000 0.5000  2 K 3.13, 2 Zn 3.25
Zn: 0.0000 0.5000 0.5000  2 Zn 3.13, 2 K 3.25
In: 0.0000 0.0000 0.0000  4 In 3.13-3.25
In: 0.5000 0.5000 0.0000  4 In 3.13-3.25

***

[7]
The following is a PBE-GGA calculation of crystalline KZnIn2 at its relaxed geometry, from the Alexandria database.

Calculated values
DFT formation energy (eV per atom): -0.02

abc: 4.2123 3.3403 8.4308
angles: 74.79 90.00 90.00
With the nearest neighbours (Å) after each atom.
Element x y z (fractional)
Zn: 0.5000 0.7500 0.7500  4 In 2.84
In: 0.0000 0.9672 0.9371  2 Zn 2.84
K: 0.5000 0.2500 0.2500  2 K 3.34, 8 In 3.69-3.72
In: 0.0000 0.5328 0.5629  2 Zn 2.84

***

[8]
The following is a PBE-GGA calculation of crystalline K3ZnIn at its relaxed geometry, from the Alexandria database.

Calculated values
DFT formation energy (eV per atom): 0.30

abc: 6.8415 6.8415 6.8415
angles: 90.00 90.00 90.00
With the nearest neighbours (Å) after each atom.
Element x y z (fractional)
Zn: 0.5000 0.5000 0.5000  12 K 4.84
K: 0.0000 0.0000 0.5000  2 In 3.42
K: 0.0000 0.5000 0.0000  2 In 3.42
In: 0.0000 0.0000 0.0000  6 K 3.42
K: 0.5000 0.0000 0.0000  2 In 3.42

***

Number 1: magnetic moment 0.000 μB per formula unit. Number 2: magnetic moment 0.238 μB per formula unit. Number 3: magnetic moment 0.000 μB per formula unit. Number 4: magnetic moment 0.000 μB per formula unit. Number 5: magnetic moment 0.000 μB per formula unit. Number 6: magnetic moment 0.000 μB per formula unit. Number 7: magnetic moment 0.000 μB per formula unit. Number 8: magnetic moment 0.000 μB per formula unit.